An optimized crystal structure of SbHIrAuBr, computed with PBE.

Geometry as CIF:
```
data_SbHIrAuBr
_symmetry_space_group_name_H-M 'P 3 m 1'
_symmetry_Int_Tables_number 156
_cell_length_a 4.2373
_cell_length_b 4.2373
_cell_length_c 6.8819
_cell_angle_alpha 90.00
_cell_angle_beta 90.00
_cell_angle_gamma 120.00
loop_
_symmetry_equiv_pos_as_xyz
'x,y,z'
'-y,x-y,z'
'-x+y,-x,z'
'-y,-x,z'
'-x+y,y,z'
'x,x-y,z'
loop_
_atom_site_label
_atom_site_type_symbol
_atom_site_fract_x
_atom_site_fract_y
_atom_site_fract_z
_atom_site_occupancy
Sb1 Sb 0.0000 0.0000 0.0000 1
H1 H 0.6667 0.3333 0.8850 1
Ir1 Ir 0.6667 0.3333 0.1150 1
Au1 Au 0.3333 0.6667 0.3274 1
Br1 Br 0.0000 0.0000 0.5777 1
```

- crystal system = trigonal

An optimized crystal structure of SbHIrAuBr, computed with PBE.

Geometry as CIF:
```
data_SbHIrAuBr
_symmetry_space_group_name_H-M 'R 3 m'
_symmetry_Int_Tables_number 160
_symmetry_space_group_name_Hall 'R 3 -2"'
_cell_length_a 4.3122
_cell_length_b 4.3122
_cell_length_c 20.4808
_cell_angle_alpha 90.00
_cell_angle_beta 90.00
_cell_angle_gamma 120.00
loop_
_atom_site_label
_atom_site_type_symbol
_atom_site_fract_x
_atom_site_fract_y
_atom_site_fract_z
_atom_site_occupancy
Sb1 Sb 0.0000 0.0000 0.0000 1
H1 H 0.0000 0.0000 0.3740 1
Ir1 Ir 0.0000 0.0000 0.2970 1
Au1 Au 0.0000 0.0000 0.5646 1
Br1 Br 0.0000 0.0000 0.1459 1
```

- crystal system = trigonal

An optimized crystal structure of SbHIrAuBr, computed with PBE.

Geometry as CIF:
```
data_SbHIrAuBr
_symmetry_space_group_name_H-M 'P 1 m 1'
_symmetry_Int_Tables_number 6
_cell_length_a 4.2052
_cell_length_b 3.6413
_cell_length_c 6.2551
_cell_angle_alpha 90.00
_cell_angle_beta 107.06
_cell_angle_gamma 90.00
loop_
_symmetry_equiv_pos_as_xyz
'x,y,z'
'x,-y,z'
loop_
_atom_site_label
_atom_site_type_symbol
_atom_site_fract_x
_atom_site_fract_y
_atom_site_fract_z
_atom_site_occupancy
Sb1 Sb 0.0000 0.0000 0.0000 1
H1 H 0.8834 0.0000 0.6905 1
Ir1 Ir 0.5515 0.5000 0.0420 1
Au1 Au 0.6095 0.0000 0.3847 1
Br1 Br 0.3395 0.5000 0.6297 1
```

- crystal system = monoclinic

An optimized crystal structure of KHAuBr2, computed with PBE.

Geometry as CIF:
```
data_KHAuBr2
_symmetry_space_group_name_H-M 'P 4/m m m'
_symmetry_Int_Tables_number 123
_symmetry_space_group_name_Hall '-P 4 2'
_cell_length_a 5.9433
_cell_length_b 5.9433
_cell_length_c 4.4543
_cell_angle_alpha 90.00
_cell_angle_beta 90.00
_cell_angle_gamma 90.00
loop_
_atom_site_label
_atom_site_type_symbol
_atom_site_fract_x
_atom_site_fract_y
_atom_site_fract_z
_atom_site_occupancy
K1 K 0.0000 0.0000 0.0000 1
H1 H 0.0000 0.0000 0.5000 1
Au1 Au 0.5000 0.5000 0.5000 1
Br1 Br 0.0000 0.5000 0.0000 1
```

- crystal system = tetragonal

An optimized crystal structure of K2HAuBr, computed with PBE.

Geometry as CIF:
```
data_K2HAuBr
_symmetry_space_group_name_H-M 'P 4/m m m'
_symmetry_Int_Tables_number 123
_symmetry_space_group_name_Hall '-P 4 2'
_cell_length_a 5.6706
_cell_length_b 5.6706
_cell_length_c 3.9691
_cell_angle_alpha 90.00
_cell_angle_beta 90.00
_cell_angle_gamma 90.00
loop_
_atom_site_label
_atom_site_type_symbol
_atom_site_fract_x
_atom_site_fract_y
_atom_site_fract_z
_atom_site_occupancy
K1 K 0.0000 0.5000 0.0000 1
H1 H 0.0000 0.0000 0.0000 1
Au1 Au 0.0000 0.0000 0.5000 1
Br1 Br 0.5000 0.5000 0.5000 1
```

- crystal system = tetragonal

An optimized crystal structure of K4HAuBr2, computed with PBE.

Geometry as CIF:
```
data_K4HAuBr2
_symmetry_space_group_name_H-M 'P 1 2/m 1'
_symmetry_Int_Tables_number 10
_cell_length_a 7.9979
_cell_length_b 4.6081
_cell_length_c 8.0399
_cell_angle_alpha 90.00
_cell_angle_beta 109.14
_cell_angle_gamma 90.00
loop_
_symmetry_equiv_pos_as_xyz
'x,y,z'
'-x,-y,-z'
'-x,y,-z'
'x,-y,z'
loop_
_atom_site_label
_atom_site_type_symbol
_atom_site_fract_x
_atom_site_fract_y
_atom_site_fract_z
_atom_site_occupancy
K1 K 0.2358 0.0000 0.2325 1
K2 K 0.2425 0.5000 0.7652 1
H1 H 0.0000 0.5000 0.0000 1
Au1 Au 0.0000 0.0000 0.5000 1
Br1 Br 0.5000 0.0000 0.0000 1
Br2 Br 0.5000 0.5000 0.5000 1
```

- crystal system = monoclinic

An optimized crystal structure of KHAuBr2, computed with PBE.

Geometry as CIF:
```
data_KHAuBr2
_symmetry_space_group_name_H-M 'P 4/m m m'
_symmetry_Int_Tables_number 123
_symmetry_space_group_name_Hall '-P 4 2'
_cell_length_a 5.5904
_cell_length_b 5.5904
_cell_length_c 3.7102
_cell_angle_alpha 90.00
_cell_angle_beta 90.00
_cell_angle_gamma 90.00
loop_
_atom_site_label
_atom_site_type_symbol
_atom_site_fract_x
_atom_site_fract_y
_atom_site_fract_z
_atom_site_occupancy
K1 K 0.0000 0.0000 0.0000 1
H1 H 0.5000 0.5000 0.0000 1
Au1 Au 0.5000 0.5000 0.5000 1
Br1 Br 0.0000 0.5000 0.5000 1
```

- crystal system = tetragonal

An optimized crystal structure of H4AuBr2N, computed with PBE.

Geometry as CIF:
```
data_H4AuBr2N
_symmetry_space_group_name_H-M 'P m n 21'
_symmetry_Int_Tables_number 31
_cell_length_a 9.0248
_cell_length_b 4.2190
_cell_length_c 6.8600
_cell_angle_alpha 90.00
_cell_angle_beta 90.00
_cell_angle_gamma 90.00
loop_
_symmetry_equiv_pos_as_xyz
'x,y,z'
'-x+1/2,-y,z+1/2'
'-x,y,z'
'x+1/2,-y,z+1/2'
loop_
_atom_site_label
_atom_site_type_symbol
_atom_site_fract_x
_atom_site_fract_y
_atom_site_fract_z
_atom_site_occupancy
H1 H 0.0000 0.1354 0.0000 1
H2 H 0.0000 0.1421 0.7527 1
H3 H 0.0952 0.4184 0.8792 1
Au1 Au 0.0000 0.7508 0.3793 1
Br1 Br 0.1972 0.2529 0.3800 1
N1 N 0.0000 0.2773 0.8778 1
```

- crystal system = orthorhombic

An optimized crystal structure of H6AuBrN2, computed with PBE.

Geometry as CIF:
```
data_H6AuBrN2
_symmetry_space_group_name_H-M 'C 1 2/c 1'
_symmetry_Int_Tables_number 15
_cell_length_a 9.5874
_cell_length_b 12.1532
_cell_length_c 5.6990
_cell_angle_alpha 90.00
_cell_angle_beta 125.49
_cell_angle_gamma 90.00
loop_
_symmetry_equiv_pos_as_xyz
'x,y,z'
'-x,-y,-z'
'-x,y,-z+1/2'
'x,-y,z+1/2'
'x+1/2,y+1/2,z'
'-x+1/2,-y+1/2,-z'
'-x+1/2,y+1/2,-z+1/2'
'x+1/2,-y+1/2,z+1/2'
loop_
_atom_site_label
_atom_site_type_symbol
_atom_site_fract_x
_atom_site_fract_y
_atom_site_fract_z
_atom_site_occupancy
H1 H 0.1829 0.0111 0.4286 1
H2 H 0.1847 0.1283 0.5776 1
H3 H 0.1900 0.1286 0.2893 1
Au1 Au 0.0000 0.4141 0.2500 1
Br1 Br 0.0000 0.1576 0.7500 1
N1 N 0.2359 0.0893 0.4823 1
```

- crystal system = monoclinic

An optimized crystal structure of Rb2HAuBr, computed with PBE.

Geometry as CIF:
```
data_Rb2HAuBr
_symmetry_space_group_name_H-M 'P 4/m m m'
_symmetry_Int_Tables_number 123
_symmetry_space_group_name_Hall '-P 4 2'
_cell_length_a 5.9739
_cell_length_b 5.9739
_cell_length_c 3.9905
_cell_angle_alpha 90.00
_cell_angle_beta 90.00
_cell_angle_gamma 90.00
loop_
_atom_site_label
_atom_site_type_symbol
_atom_site_fract_x
_atom_site_fract_y
_atom_site_fract_z
_atom_site_occupancy
Rb1 Rb 0.0000 0.5000 0.0000 1
H1 H 0.0000 0.0000 0.0000 1
Au1 Au 0.0000 0.0000 0.5000 1
Br1 Br 0.5000 0.5000 0.5000 1
```

- crystal system = tetragonal

An optimized crystal structure of Rb6HAu2Br3, computed with PBE.

Geometry as CIF:
```
data_Rb6HAu2Br3
_symmetry_space_group_name_H-M 'C 1 2/m 1'
_symmetry_Int_Tables_number 12
_cell_length_a 8.4830
_cell_length_b 14.6804
_cell_length_c 8.4667
_cell_angle_alpha 90.00
_cell_angle_beta 109.52
_cell_angle_gamma 90.00
loop_
_symmetry_equiv_pos_as_xyz
'x,y,z'
'-x,-y,-z'
'-x,y,-z'
'x,-y,z'
'x+1/2,y+1/2,z'
'-x+1/2,-y+1/2,-z'
'-x+1/2,y+1/2,-z'
'x+1/2,-y+1/2,z'
loop_
_atom_site_label
_atom_site_type_symbol
_atom_site_fract_x
_atom_site_fract_y
_atom_site_fract_z
_atom_site_occupancy
Rb1 Rb 0.2308 0.0000 0.2587 1
Rb2 Rb 0.2387 0.1571 0.7446 1
H1 H 0.0000 0.0000 0.5000 1
Au1 Au 0.0000 0.3336 0.5000 1
Br1 Br 0.0000 0.1700 0.0000 1
Br2 Br 0.0000 0.5000 0.0000 1
```

- crystal system = monoclinic

An optimized crystal structure of Rb6H2AuBr3, computed with PBE.

Geometry as CIF:
```
data_Rb6H2AuBr3
_symmetry_space_group_name_H-M 'C 1 2/m 1'
_symmetry_Int_Tables_number 12
_cell_length_a 20.7770
_cell_length_b 4.7740
_cell_length_c 9.6178
_cell_angle_alpha 90.00
_cell_angle_beta 103.50
_cell_angle_gamma 90.00
loop_
_symmetry_equiv_pos_as_xyz
'x,y,z'
'-x,-y,-z'
'-x,y,-z'
'x,-y,z'
'x+1/2,y+1/2,z'
'-x+1/2,-y+1/2,-z'
'-x+1/2,y+1/2,-z'
'x+1/2,-y+1/2,z'
loop_
_atom_site_label
_atom_site_type_symbol
_atom_site_fract_x
_atom_site_fract_y
_atom_site_fract_z
_atom_site_occupancy
Rb1 Rb 0.0104 0.0000 0.2600 1
Rb2 Rb 0.1698 0.5000 0.1025 1
Rb3 Rb 0.1742 0.5000 0.5692 1
H1 H 0.1719 0.0000 0.3419 1
Au1 Au 0.0000 0.5000 0.0000 1
Br1 Br 0.0000 0.5000 0.5000 1
Br2 Br 0.1634 0.0000 0.8300 1
```

- crystal system = monoclinic

An optimized crystal structure of Rb2HAuBr6, computed with PBE.

Geometry as CIF:
```
data_Rb2HAuBr6
_symmetry_space_group_name_H-M 'I 4/m m m'
_symmetry_Int_Tables_number 139
_symmetry_space_group_name_Hall '-I 4 2'
_cell_length_a 7.2101
_cell_length_b 7.2101
_cell_length_c 11.3641
_cell_angle_alpha 90.00
_cell_angle_beta 90.00
_cell_angle_gamma 90.00
loop_
_atom_site_label
_atom_site_type_symbol
_atom_site_fract_x
_atom_site_fract_y
_atom_site_fract_z
_atom_site_occupancy
Rb1 Rb 0.0000 0.5000 0.2500 1
H1 H 0.0000 0.0000 0.0000 1
Au1 Au 0.0000 0.0000 0.5000 1
Br1 Br 0.0000 0.0000 0.2786 1
Br2 Br 0.2329 0.2329 0.0000 1
```

- crystal system = tetragonal

An optimized crystal structure of Rb3HAuBr, computed with PBE.

Geometry as CIF:
```
data_Rb3HAuBr
_symmetry_space_group_name_H-M 'P 1 21/m 1'
_symmetry_Int_Tables_number 11
_cell_length_a 10.0548
_cell_length_b 4.9256
_cell_length_c 10.6699
_cell_angle_alpha 90.00
_cell_angle_beta 97.80
_cell_angle_gamma 90.00
loop_
_symmetry_equiv_pos_as_xyz
'x,y,z'
'-x,-y,-z'
'-x,y+1/2,-z'
'x,-y+1/2,z'
loop_
_atom_site_label
_atom_site_type_symbol
_atom_site_fract_x
_atom_site_fract_y
_atom_site_fract_z
_atom_site_occupancy
Rb1 Rb 0.0944 0.2500 0.3429 1
Rb2 Rb 0.3360 0.2500 0.9921 1
Rb3 Rb 0.3883 0.7500 0.6510 1
H1 H 0.3949 0.7500 0.9018 1
Au1 Au 0.3357 0.7500 0.2981 1
Br1 Br 0.1418 0.2500 0.6650 1
```

- crystal system = monoclinic

An optimized crystal structure of HRuAu2Br, computed with PBE.

Geometry as CIF:
```
data_HRuAu2Br
_symmetry_space_group_name_H-M 'P 4/m m m'
_symmetry_Int_Tables_number 123
_symmetry_space_group_name_Hall '-P 4 2'
_cell_length_a 3.8482
_cell_length_b 3.8482
_cell_length_c 5.8158
_cell_angle_alpha 90.00
_cell_angle_beta 90.00
_cell_angle_gamma 90.00
loop_
_atom_site_label
_atom_site_type_symbol
_atom_site_fract_x
_atom_site_fract_y
_atom_site_fract_z
_atom_site_occupancy
H1 H 0.0000 0.0000 0.0000 1
Ru1 Ru 0.5000 0.5000 0.5000 1
Au1 Au 0.0000 0.5000 0.0000 1
Br1 Br 0.0000 0.0000 0.5000 1
```

- crystal system = tetragonal

An optimized crystal structure of HAuSBr2, computed with PBE.

Geometry as CIF:
```
data_HAuSBr2
_symmetry_space_group_name_H-M 'P 4/m m m'
_symmetry_Int_Tables_number 123
_symmetry_space_group_name_Hall '-P 4 2'
_cell_length_a 5.3290
_cell_length_b 5.3290
_cell_length_c 3.4545
_cell_angle_alpha 90.00
_cell_angle_beta 90.00
_cell_angle_gamma 90.00
loop_
_atom_site_label
_atom_site_type_symbol
_atom_site_fract_x
_atom_site_fract_y
_atom_site_fract_z
_atom_site_occupancy
H1 H 0.0000 0.0000 0.0000 1
Au1 Au 0.0000 0.0000 0.5000 1
S1 S 0.5000 0.5000 0.5000 1
Br1 Br 0.0000 0.5000 0.0000 1
```

- crystal system = tetragonal

An optimized crystal structure of HAuS2Br, computed with PBE.

Geometry as CIF:
```
data_HAuS2Br
_symmetry_space_group_name_H-M 'P 4/m m m'
_symmetry_Int_Tables_number 123
_symmetry_space_group_name_Hall '-P 4 2'
_cell_length_a 3.7276
_cell_length_b 3.7276
_cell_length_c 7.5860
_cell_angle_alpha 90.00
_cell_angle_beta 90.00
_cell_angle_gamma 90.00
loop_
_atom_site_label
_atom_site_type_symbol
_atom_site_fract_x
_atom_site_fract_y
_atom_site_fract_z
_atom_site_occupancy
H1 H 0.0000 0.0000 0.0000 1
Au1 Au 0.5000 0.5000 0.5000 1
S1 S 0.0000 0.5000 0.0000 1
Br1 Br 0.0000 0.0000 0.5000 1
```

- crystal system = tetragonal

An optimized crystal structure of ScH2AuBr, computed with PBE.

Geometry as CIF:
```
data_ScH2AuBr
_symmetry_space_group_name_H-M 'P 4/m m m'
_symmetry_Int_Tables_number 123
_symmetry_space_group_name_Hall '-P 4 2'
_cell_length_a 3.8130
_cell_length_b 3.8130
_cell_length_c 7.4491
_cell_angle_alpha 90.00
_cell_angle_beta 90.00
_cell_angle_gamma 90.00
loop_
_atom_site_label
_atom_site_type_symbol
_atom_site_fract_x
_atom_site_fract_y
_atom_site_fract_z
_atom_site_occupancy
Sc1 Sc 0.0000 0.0000 0.0000 1
H1 H 0.0000 0.5000 0.5000 1
Au1 Au 0.5000 0.5000 0.0000 1
Br1 Br 0.5000 0.5000 0.5000 1
```

- crystal system = tetragonal

An optimized crystal structure of HAuSe2Br, computed with PBE.

Geometry as CIF:
```
data_HAuSe2Br
_symmetry_space_group_name_H-M 'P 4/m m m'
_symmetry_Int_Tables_number 123
_symmetry_space_group_name_Hall '-P 4 2'
_cell_length_a 5.1766
_cell_length_b 5.1766
_cell_length_c 5.4511
_cell_angle_alpha 90.00
_cell_angle_beta 90.00
_cell_angle_gamma 90.00
loop_
_atom_site_label
_atom_site_type_symbol
_atom_site_fract_x
_atom_site_fract_y
_atom_site_fract_z
_atom_site_occupancy
H1 H 0.0000 0.0000 0.0000 1
Au1 Au 0.5000 0.5000 0.5000 1
Se1 Se 0.0000 0.5000 0.5000 1
Br1 Br 0.5000 0.5000 0.0000 1
```

- crystal system = tetragonal

An optimized crystal structure of HAuSe2Br, computed with PBE.

Geometry as CIF:
```
data_HAuSe2Br
_symmetry_space_group_name_H-M 'P 4/m m m'
_symmetry_Int_Tables_number 123
_symmetry_space_group_name_Hall '-P 4 2'
_cell_length_a 3.9046
_cell_length_b 3.9046
_cell_length_c 7.8612
_cell_angle_alpha 90.00
_cell_angle_beta 90.00
_cell_angle_gamma 90.00
loop_
_atom_site_label
_atom_site_type_symbol
_atom_site_fract_x
_atom_site_fract_y
_atom_site_fract_z
_atom_site_occupancy
H1 H 0.0000 0.0000 0.0000 1
Au1 Au 0.5000 0.5000 0.5000 1
Se1 Se 0.0000 0.5000 0.0000 1
Br1 Br 0.0000 0.0000 0.5000 1
```

- crystal system = tetragonal

Total magnetic moment across the listed records, respectively: 0.000; 0.000; 0.000; 1.000; 0.000; 0.043; 0.000; 0.000; 0.000; 0.000; 0.064; 0.086; 0.000; 0.017; 2.253; 0.579; 0.000; 0.000; 3.559; 0.000 μB/f.u..
Energy across the listed records, respectively: -4.261; -4.261; -4.053; -1.873; -2.841; -2.752; -2.820; -3.893; -4.568; -2.784; -2.700; -2.681; -2.461; -2.541; -3.498; -2.006; -2.730; -3.137; -2.157; -2.634 eV/atom.